# NbW2NF

A geometry-optimized NbW2NF structure (PBE+U, the Alexandria database).

Output
SG = P4/mmm, No. 123
calculated total energy = -25.63 eV for the cell shown
ρ = 10.71 g/cm³
crystal system = tetragonal

POSCAR file:
```
NbW2NF
1.0
4.2485 0.0000 0.0000
0.0000 4.2419 0.0000
0.0000 0.0000 4.2485
Nb N W F
1 1 2 1
Direct
0.0000 0.5000 0.0000
0.5000 0.5000 0.5000
0.0000 0.0000 0.5000
0.5000 0.0000 0.0000
0.0000 0.0000 0.0000
```